Below is crystalline CdFeSn2 at its relaxed geometry, with properties calculated at the GGA-PBE level.

Unit cell a=3.3224 b=3.3224 c=28.1460 alpha=90.00 beta=90.00 gamma=120.00
Space group R-3m (No. 166, hexagonal axes)
Asymmetric unit:
Cd1 0.0000 0.0000 0.0000 x3
Fe1 0.0000 0.0000 0.5000 x3
Sn1 0.0000 0.0000 0.1014 x6

Formation energy from the elements (eV per atom): 0.17
Uncorrected energy (eV/atom): -4.172


Below is crystalline Cd2FeSn at its relaxed geometry, with properties calculated at the GGA-PBE level.

Unit cell a=8.354 b=8.354 c=5.176 alpha=90.00 beta=90.00 gamma=90.00
Space group I-42d (No. 122)
Asymmetric unit:
Cd1 0.184 0.250 0.125 x8
Fe1 0.000 0.000 0.000 x4
Sn1 0.000 0.000 0.500 x4

Formation energy from the elements (eV per atom): 0.42
Uncorrected energy (eV/atom): -3.150


Below is crystalline TlCd2FeSn at its relaxed geometry, with properties calculated at the GGA-PBE level.

Unit cell a=5.403 b=5.403 c=5.943 alpha=90.00 beta=90.00 gamma=90.00
Space group P4/mmm (No. 123)
Asymmetric unit:
Tl1 0.000 0.000 0.000 x1
Cd1 0.000 0.500 0.000 x2
Fe1 0.500 0.500 0.500 x1
Sn1 0.000 0.000 0.500 x1

Formation energy from the elements (eV per atom): 1.14
Uncorrected energy (eV/atom): -2.196


Below is crystalline SrCd2Fe at its relaxed geometry, with properties calculated at the GGA-PBE level.

Unit cell a=4.7012 b=4.7012 c=16.8289 alpha=90.00 beta=90.00 gamma=120.00
Space group R3m (No. 160, hexagonal axes)
Asymmetric unit:
Sr1 0.0000 0.0000 0.0000 x3
Cd1 0.0000 0.0000 0.1993 x3
Cd2 0.0000 0.0000 0.4677 x3
Fe1 0.0000 0.0000 0.8094 x3

Formation energy from the elements (eV per atom): 0.17
Uncorrected energy (eV/atom): -2.821


Below is crystalline SrCd2Fe at its relaxed geometry, with properties calculated at the GGA-PBE level.

Unit cell a=4.858 b=5.427 c=7.484 alpha=90.00 beta=90.00 gamma=90.00
Space group Imm2 (No. 44)
Asymmetric unit:
Sr1 0.000 0.000 0.000 x2
Cd1 0.000 0.000 0.481 x2
Cd2 0.000 0.500 0.221 x2
Fe1 0.000 0.500 0.793 x2

Formation energy from the elements (eV per atom): 0.31
Uncorrected energy (eV/atom): -2.679


Below is crystalline SrCd2Fe at its relaxed geometry, with properties calculated at the GGA-PBE level.

Unit cell a=4.704 b=4.704 c=8.667 alpha=90.00 beta=90.00 gamma=90.00
Space group I4/mmm (No. 139)
Asymmetric unit:
Sr1 0.000 0.000 0.000 x2
Cd1 0.000 0.500 0.250 x4
Fe1 0.000 0.000 0.500 x2

Formation energy from the elements (eV per atom): 0.30
Uncorrected energy (eV/atom): -2.694